[1]
The following is a PBE calculation of a relaxed structure of MgZnRu2C, from the Alexandria database.

extended XYZ file:
```
5
Lattice="-0.2827 2.6898 2.9821 0.7716 -2.8974 2.6865 4.1185 0.7944 -0.3261" Properties=species:S:1:pos:R:3 pbc="T T T"
Ru -0.1413 1.3449 1.4910
Mg 2.0593 0.3972 -0.1631
Ru 0.3858 -1.4487 1.3433
Zn 2.3037 0.2934 2.6712
C 0.0000 0.0000 0.0000
```

Properties
- SG: No. 123

***

[2]
The following is a PBE calculation of a relaxed structure of TaNb4V2, from the Alexandria database.

extended XYZ file:
```
7
Lattice="3.3853 0.0000 -0.4467 0.0000 3.2108 0.0000 -0.2510 0.0000 11.1487" Properties=species:S:1:pos:R:3 pbc="T T T"
Ta 1.6926 0.0000 -0.2233
Nb 0.9971 0.0000 7.5569
V 2.5223 1.6054 6.0644
Nb 0.2166 1.6054 1.6417
Nb 2.9176 1.6054 9.0603
V 0.6120 1.6054 4.6377
Nb 2.1371 0.0000 3.1452
```

Properties
- Energy relative to the lowest polymorph listed for this composition: 91 meV per atom
- SG: No. 65

***

[3]
The following is a PBE calculation of a relaxed structure of Pu2Pa2Ge, from the Alexandria database.

extended XYZ file:
```
5
Lattice="-1.6329 -3.8338 -0.5646 -0.3469 -0.4656 4.1648 -5.0740 4.7637 -2.0130" Properties=species:S:1:pos:R:3 pbc="T T T"
Pu -2.2292 -1.6154 1.7566
Pa -3.8484 -0.6099 -0.3887
Ge 0.0000 0.0000 0.0000
Pa -3.2054 1.0742 1.9760
Pu -4.8246 2.0798 -0.1694
```

Properties
- Energy relative to the lowest polymorph listed for this composition: 232 meV per atom
- SG: No. 139

***

[4]
The following is a PBE calculation of a relaxed structure of TbPmRuRh, from the Alexandria database.

extended XYZ file:
```
4
Lattice="3.4654 0.0000 0.0000 0.0000 3.4654 0.0000 0.0000 0.0000 6.9143" Properties=species:S:1:pos:R:3 pbc="T T T"
Rh 0.0000 0.0000 5.8803
Ru 0.0000 0.0000 2.5075
Tb 1.7327 1.7327 4.1751
Pm 1.7327 1.7327 0.7677
```

Properties
- Energy relative to the lowest polymorph listed for this composition: 0 meV per atom
- SG: No. 99

***

[5]
The following is a PBE calculation of a relaxed structure of RbBa2Ga, from the Alexandria database.

extended XYZ file:
```
4
Lattice="-3.0559 -3.1284 -1.4637 -0.6607 -3.8790 2.4050 -10.3299 3.3914 7.0535" Properties=species:S:1:pos:R:3 pbc="T T T"
Ba -8.8102 2.4340 5.9269
Ga -2.4814 -4.6693 0.6302
Ba -2.7667 -1.3733 1.4464
Rb -7.0115 -1.8154 3.9887
```

Properties
- SG: No. 160

***

[6]
The following is a PBE calculation of a relaxed structure of GaIBr3, from the Alexandria database.

extended XYZ file:
```
5
Lattice="-5.7826 0.1262 -1.1033 -0.8569 -4.2278 4.0078 -0.7063 4.0965 4.1703" Properties=species:S:1:pos:R:3 pbc="T T T"
Br -0.4285 -2.1139 2.0039
Ga -3.6729 -0.0026 3.5374
Br -0.3532 2.0482 2.0852
Br -2.8913 0.0631 -0.5517
I 0.0000 0.0000 0.0000
```

Properties
- Energy relative to the lowest polymorph listed for this composition: 629 meV per atom
- Raw formation energy: 0.0110 eV per atom
- SG: No. 221

***

[7]
The following is a PBE calculation of a relaxed structure of TePBr2, from the Alexandria database.

extended XYZ file:
```
4
Lattice="-0.9362 -3.3707 0.6798 3.0982 1.4192 1.0425 -5.1588 3.5501 10.4979" Properties=species:S:1:pos:R:3 pbc="T T T"
Br -0.4953 0.3408 1.0079
P -0.2087 -0.0882 3.4857
Te -2.7881 1.6869 8.7346
Br -2.0841 1.4342 4.2410
```

Properties
- Energy relative to the lowest polymorph listed for this composition: 433 meV per atom
- Raw formation energy: 0.3628 eV per atom
- SG: No. 65

***

[8]
The following is a PBE calculation of a relaxed structure of CuReH3, from the Alexandria database.

extended XYZ file:
```
5
Lattice="-2.4014 -0.7632 -2.1020 1.6129 -2.7276 -0.8522 -1.5490 -1.6569 2.3712" Properties=species:S:1:pos:R:3 pbc="T T T"
Re -1.1687 -2.5738 -0.2915
H -0.7745 -0.8284 1.1856
Cu 0.0000 0.0000 0.0000
H -1.2007 -0.3816 -1.0510
H 0.8064 -1.3638 -0.4261
```

Properties
- Energy relative to the lowest polymorph listed for this composition: 240 meV per atom
- SG: No. 221

***

[9]
The following is a PBE calculation of a relaxed structure of ZnBrF2, from the Alexandria database.

extended XYZ file:
```
4
Lattice="0.0000 3.0739 3.0739 3.0739 0.0000 3.0739 3.0739 3.0739 0.0000" Properties=species:S:1:pos:R:3 pbc="T T T"
F 4.6109 4.6109 4.6109
F 1.5370 1.5370 1.5370
Br 3.0739 3.0739 3.0739
Zn 0.0000 0.0000 0.0000
```

Properties
- Energy relative to the lowest polymorph listed for this composition: 949 meV per atom
- Raw formation energy: -0.5557 eV per atom
- SG: No. 225

***

[10]
The following is a PBE calculation of a relaxed structure of TaCdF2, from the Alexandria database.

extended XYZ file:
```
4
Lattice="0.0000 3.1136 3.1136 3.1136 0.0000 3.1136 3.1136 3.1136 0.0000" Properties=species:S:1:pos:R:3 pbc="T T T"
Cd 0.0000 0.0000 0.0000
F 1.5568 1.5568 1.5568
F 4.6705 4.6705 4.6705
Ta 3.1136 3.1136 3.1136
```

Properties
- Energy relative to the lowest polymorph listed for this composition: 1235 meV per atom
- Raw formation energy: -0.3405 eV per atom
- SG: No. 225

***

[11]
The following is a PBE calculation of a relaxed structure of ZrTcRu2, from the Alexandria database.

extended XYZ file:
```
4
Lattice="0.0000 3.1853 3.1853 3.1853 0.0000 3.1853 3.1853 3.1853 0.0000" Properties=species:S:1:pos:R:3 pbc="T T T"
Zr 0.0000 0.0000 0.0000
Ru 4.7780 4.7780 4.7780
Tc 3.1853 3.1853 3.1853
Ru 1.5927 1.5927 1.5927
```

Properties
- Energy relative to the lowest polymorph listed for this composition: 86 meV per atom
- SG: No. 225

***

[12]
The following is a PBE calculation of a relaxed structure of Gd2MgOs, from the Alexandria database.

extended XYZ file:
```
4
Lattice="-0.7264 2.4216 -2.2999 -3.2990 -0.1541 0.8797 1.3034 6.0371 5.9451" Properties=species:S:1:pos:R:3 pbc="T T T"
Gd 1.0468 4.8486 4.7748
Gd 0.2566 1.1885 1.1704
Mg -1.3610 4.1523 2.2625
Os -2.0127 1.1338 -0.7101
```

Properties
- SG: No. 123

***

Computed total DFT energy (no corrections), in the same sequence as the records: -6.04, -9.92, -10.14, -7.01, -2.02, -1.91, -2.61, -4.53, -2.23, -4.47, -9.34, -10.41 eV per atom.
Computed total moment, in the same sequence as the records: 0.00, 0.00, 8.28, 0.00, 0.00, 0.00, 0.83, 0.00, 1.00, 2.36, 2.31, 14.24 μB per formula unit.